# ZnCuO

An optimized crystal structure of ZnCuO (PBE, the Alexandria database).

Lattice parameters (Å, degrees): 3.0901 5.0789 5.1104 112.00 92.94 102.05
With the nearest neighbours (Å) after each atom.
Positions (direct):
Zn  0.0000  0.0000  0.0000  3 O 1.97-2.20
Zn  0.1892  0.4740  0.6534  2 O 2.04-2.05
Cu  0.5027  0.0451  0.4193  2 O 1.95-2.18
Cu  0.6505  0.4478  0.2407  2 O 2.00-2.23
O  0.1490  0.6291  0.0790  3 Cu 2.00-2.23, 2 Zn 2.04-2.20
O  0.4606  0.9037  0.7260  1 Cu 1.95, 3 Zn 1.97-2.05

Computed properties:
M_tot: 0.00 μB/cell
ΔE to the lowest computed polymorph: 60 meV/atom
ΔE_f (raw): -550 meV/atom
Total DFT energy (no corrections): -3.993 eV/atom
Symmetry: P1 (1)